Entry from Alexandria: crystalline CeErW4 at its relaxed geometry (PBE).

It has space group F-43m (No. 216), with a = 7.8392 Å, b = 7.8392 Å, c = 7.8392 Å, α = 90.00°, β = 90.00° and γ = 90.00°. Symmetry generates all atoms from Ce at (0.0000, 0.0000, 0.0000), Er at (0.2500, 0.2500, 0.7500) and W at (0.1252, 0.1252, 0.3748).

For the energy of formation from the pure elements, the calculation gives 1.11 eV/f.u. The value obtained for the electronic total energy is -10.1993 eV per atom.

Entry from Alexandria: crystalline SiHgO2 at its relaxed geometry (PBE).

It has space group R-3m (No. 166, hexagonal axes), with a = 2.7784 Å, b = 2.7784 Å, c = 29.7702 Å, α = 90.00°, β = 90.00° and γ = 120.00°. Symmetry generates all atoms from Si at (0.0000, 0.0000, 0.0000), Hg at (0.0000, 0.0000, 0.5000) and O at (0.0000, 0.0000, 0.3634).

The value obtained for the raw formation energy is -1707 meV/atom. The value obtained for the electronic total energy is -5.6174 eV per atom.